TbMn7O12: optimized geometry, GGA+U.

Cell and atoms, written as POSCAR:
```
TbMn7O12
1.0
-3.770 3.770 3.770
3.770 -3.770 3.770
3.770 3.770 -3.770
Tb Mn O
1 7 12
Direct
0.000 0.000 0.000 Tb
0.000 0.000 0.500 Mn
0.000 0.500 0.000 Mn
0.000 0.500 0.500 Mn
0.500 0.000 0.000 Mn
0.500 0.000 0.500 Mn
0.500 0.500 0.000 Mn
0.500 0.500 0.500 Mn
0.131 0.827 0.304 O
0.173 0.304 0.477 O
0.173 0.696 0.869 O
0.304 0.131 0.827 O
0.304 0.477 0.173 O
0.477 0.173 0.304 O
0.523 0.827 0.696 O
0.696 0.523 0.827 O
0.696 0.869 0.173 O
0.827 0.304 0.131 O
0.827 0.696 0.523 O
0.869 0.173 0.696 O
```

## Properties
The size of the total moment is 28.0 μB per formula unit. The total energy is -7.634 eV per atom.

***

Cr2IF: optimized geometry, GGA+U.

Cell and atoms, written as POSCAR:
```
Cr2IF
1.0
6.882 0.000 0.000
0.000 6.882 0.000
0.000 0.000 6.882
Cr I F
8 4 4
Direct
0.250 0.250 0.250 Cr
0.250 0.250 0.750 Cr
0.250 0.750 0.250 Cr
0.250 0.750 0.750 Cr
0.750 0.250 0.250 Cr
0.750 0.250 0.750 Cr
0.750 0.750 0.250 Cr
0.750 0.750 0.750 Cr
0.000 0.000 0.000 I
0.000 0.500 0.500 I
0.500 0.000 0.500 I
0.500 0.500 0.000 I
0.000 0.000 0.500 F
0.000 0.500 0.000 F
0.500 0.000 0.000 F
0.500 0.500 0.500 F
```

## Properties
The size of the total moment is 10.0 μB per formula unit. The energy above the most stable polymorph in this dataset comes out at 0.1885 eV per atom.